VASP calculation (PBE) on a relaxed K4Pm3NpS8 crystal.

Unit cell a=8.802 b=8.802 c=8.802 alpha=56.36 beta=56.36 gamma=56.36
Element x y z (fractional)
K (0.000, 0.000, 0.000)
K (0.000, 0.500, 0.500)
K (0.500, 0.000, 0.500)
K (0.500, 0.500, 0.000)
Pm (0.000, 0.000, 0.500)
Pm (0.000, 0.500, 0.000)
Pm (0.500, 0.000, 0.000)
Np (0.500, 0.500, 0.500)
S (0.236, 0.236, 0.236)
S (0.238, 0.733, 0.733)
S (0.267, 0.267, 0.762)
S (0.267, 0.762, 0.267)
S (0.733, 0.238, 0.733)
S (0.733, 0.733, 0.238)
S (0.762, 0.267, 0.267)
S (0.764, 0.764, 0.764)

VASP calculation (PBE) on a relaxed K4PmNp3S8 crystal.

Unit cell a=8.760 b=8.760 c=8.760 alpha=56.04 beta=56.04 gamma=56.04
Element x y z (fractional)
K (0.000, 0.000, 0.000)
K (0.000, 0.500, 0.500)
K (0.500, 0.000, 0.500)
K (0.500, 0.500, 0.000)
Pm (0.500, 0.500, 0.500)
Np (0.000, 0.000, 0.500)
Np (0.000, 0.500, 0.000)
Np (0.500, 0.000, 0.000)
S (0.230, 0.737, 0.737)
S (0.232, 0.232, 0.232)
S (0.263, 0.263, 0.770)
S (0.263, 0.770, 0.263)
S (0.737, 0.230, 0.737)
S (0.737, 0.737, 0.230)
S (0.768, 0.768, 0.768)
S (0.770, 0.263, 0.263)

VASP calculation (PBE) on a relaxed K3Pm3NpS8 crystal.

Unit cell a=8.867 b=8.867 c=8.867 alpha=55.51 beta=55.51 gamma=55.51
Element x y z (fractional)
K (0.000, 0.500, 0.500)
K (0.500, 0.000, 0.500)
K (0.500, 0.500, 0.000)
Pm (0.000, 0.000, 0.500)
Pm (0.000, 0.500, 0.000)
Pm (0.500, 0.000, 0.000)
Np (0.500, 0.500, 0.500)
S (0.235, 0.235, 0.235)
S (0.245, 0.726, 0.726)
S (0.274, 0.274, 0.755)
S (0.274, 0.755, 0.274)
S (0.726, 0.245, 0.726)
S (0.726, 0.726, 0.245)
S (0.755, 0.274, 0.274)
S (0.765, 0.765, 0.765)

VASP calculation (PBE) on a relaxed K2PmNpS4 crystal.

Unit cell a=7.172 b=4.138 c=7.752 alpha=90.00 beta=108.05 gamma=90.00
Element x y z (fractional)
K (0.000, 0.000, 0.000)
K (0.500, 0.500, 0.000)
Pm (0.000, 0.500, 0.500)
Np (0.500, 0.000, 0.500)
S (0.238, 0.000, 0.706)
S (0.271, 0.500, 0.298)
S (0.729, 0.500, 0.702)
S (0.762, 0.000, 0.294)

VASP calculation (PBE) on a relaxed K2Pm2NpS6 crystal.

Unit cell a=7.099 b=7.099 c=7.883 alpha=98.81 beta=98.81 gamma=119.67
Element x y z (fractional)
K (0.170, 0.830, 0.000)
K (0.830, 0.170, 0.000)
Pm (0.334, 0.666, 0.500)
Pm (0.666, 0.334, 0.500)
Np (0.000, 0.000, 0.500)
S (0.064, 0.388, 0.697)
S (0.250, 0.250, 0.303)
S (0.388, 0.064, 0.697)
S (0.612, 0.936, 0.303)
S (0.750, 0.750, 0.697)
S (0.936, 0.612, 0.303)

VASP calculation (PBE) on a relaxed KPm2NpS5 crystal.

Unit cell a=8.254 b=8.254 c=8.254 alpha=144.61 beta=128.60 gamma=63.95
Element x y z (fractional)
K (0.000, 0.000, 0.000)
Pm (0.294, 0.794, 0.500)
Pm (0.706, 0.206, 0.500)
Np (0.500, 0.500, 0.000)
S (0.112, 0.347, 0.765)
S (0.417, 0.653, 0.765)
S (0.500, 0.000, 0.500)
S (0.583, 0.347, 0.235)
S (0.888, 0.653, 0.235)

| no. | magnetic moment (μB/f.u.) | ΔE_f (raw) (eV/atom) |
| --- | --- | --- |
| 1 | 4.0 | -1.7366 |
| 2 | 12.0 | -1.5078 |
| 3 | 3.0 | -1.7434 |
| 4 | 4.0 | -1.6171 |
| 5 | 3.0 | -1.6959 |
| 6 | 4.0 | -1.6456 |